Below is a geometry-optimized HfCd structure, with properties calculated at the PBE-GGA level.

Summary:
Formation enthalpy at 0 K (eV/atom): -0.022
M_tot (μB/cell): 0.000
Volume (Å³/atom): 22.41

CIF file:
```
data_HfCd
_space_group_name_H-M_alt 'P 1'
_space_group_IT_number 1
_space_group_name_Hall 'P 1'
_cell_length_a 5.4628
_cell_length_b 3.2668
_cell_length_c 10.1779
_cell_angle_alpha 90.00
_cell_angle_beta 99.30
_cell_angle_gamma 90.00
loop_
_atom_site_label
_atom_site_type_symbol
_atom_site_fract_x
_atom_site_fract_y
_atom_site_fract_z
Hf1 Hf 0.0000 0.0000 0.0000
Hf2 Hf 0.0871 0.5000 0.7619
Hf3 Hf 0.5000 0.5000 0.0000
Hf4 Hf 0.5871 0.0000 0.7619
Cd1 Cd 0.3567 0.5000 0.5065
Cd2 Cd 0.4313 0.0000 0.2556
Cd3 Cd 0.8567 0.0000 0.5065
Cd4 Cd 0.9313 0.5000 0.2556
```

Below is a geometry-optimized K3Nd3NpS8 structure, with properties calculated at the PBE-GGA level.

Summary:
Energy relative to the elements, uncorrected (meV per atom): -1733
M_tot (μB/cell): 3.000
Volume (Å³/atom): 29.84

CIF file:
```
data_K3Nd3NpS8
_space_group_name_H-M_alt 'P 1'
_space_group_IT_number 1
_space_group_name_Hall 'P 1'
_cell_length_a 8.8859
_cell_length_b 8.8859
_cell_length_c 8.8859
_cell_angle_alpha 55.78
_cell_angle_beta 55.78
_cell_angle_gamma 55.78
loop_
_atom_site_label
_atom_site_type_symbol
_atom_site_fract_x
_atom_site_fract_y
_atom_site_fract_z
K1 K 0.0000 0.5000 0.5000
K2 K 0.5000 0.0000 0.5000
K3 K 0.5000 0.5000 0.0000
Nd1 Nd 0.0000 0.0000 0.5000
Nd2 Nd 0.0000 0.5000 0.0000
Nd3 Nd 0.5000 0.0000 0.0000
Np1 Np 0.5000 0.5000 0.5000
S1 S 0.2356 0.2356 0.2356
S2 S 0.2473 0.7246 0.7246
S3 S 0.2754 0.2754 0.7527
S4 S 0.2754 0.7527 0.2754
S5 S 0.7246 0.2473 0.7246
S6 S 0.7246 0.7246 0.2473
S7 S 0.7527 0.2754 0.2754
S8 S 0.7644 0.7644 0.7644
```

Below is a geometry-optimized KTmBe2Cl8 structure, with properties calculated at the PBE-GGA level.

Summary:
Energy relative to the elements, uncorrected (meV per atom): -1775
M_tot (μB/cell): 0.000
Volume (Å³/atom): 26.54

CIF file:
```
data_KTmBe2Cl8
_space_group_name_H-M_alt 'P 1'
_space_group_IT_number 1
_space_group_name_Hall 'P 1'
_cell_length_a 10.3041
_cell_length_b 10.3041
_cell_length_c 10.3041
_cell_angle_alpha 34.83
_cell_angle_beta 34.83
_cell_angle_gamma 34.83
loop_
_atom_site_label
_atom_site_type_symbol
_atom_site_fract_x
_atom_site_fract_y
_atom_site_fract_z
K1 K 0.0000 0.0000 0.0000
Tm1 Tm 0.5000 0.5000 0.5000
Be1 Be 0.2455 0.2455 0.2455
Be2 Be 0.7545 0.7545 0.7545
Cl1 Cl 0.0953 0.4657 0.7771
Cl2 Cl 0.2229 0.9047 0.5343
Cl3 Cl 0.3126 0.3126 0.3126
Cl4 Cl 0.4657 0.7771 0.0953
Cl5 Cl 0.5343 0.2229 0.9047
Cl6 Cl 0.6874 0.6874 0.6874
Cl7 Cl 0.7771 0.0953 0.4657
Cl8 Cl 0.9047 0.5343 0.2229
```

Below is a geometry-optimized ZnNiOs structure, with properties calculated at the PBE-GGA level.

Summary:
Formation enthalpy at 0 K (eV/atom): 0.060
Offset from the most stable computed form (eV/atom): 0.043
M_tot (μB/cell): 0.000
Volume (Å³/atom): 13.18

CIF file:
```
data_ZnNiOs
_space_group_name_H-M_alt 'P 1'
_space_group_IT_number 1
_space_group_name_Hall 'P 1'
_cell_length_a 2.6818
_cell_length_b 2.6818
_cell_length_c 6.3463
_cell_angle_alpha 90.00
_cell_angle_beta 90.00
_cell_angle_gamma 120.00
loop_
_atom_site_label
_atom_site_type_symbol
_atom_site_fract_x
_atom_site_fract_y
_atom_site_fract_z
Zn1 Zn 0.0000 0.0000 0.0000
Ni1 Ni 0.6667 0.3333 0.3220
Os1 Os 0.3333 0.6667 0.6396
```

Below is a geometry-optimized KTlMoRh2 structure, with properties calculated at the PBE-GGA level.

Summary:
Formation enthalpy at 0 K (eV/atom): 1.564
M_tot (μB/cell): 5.148
Volume (Å³/atom): 28.42

CIF file:
```
data_KTlMoRh2
_space_group_name_H-M_alt 'P 1'
_space_group_IT_number 1
_space_group_name_Hall 'P 1'
_cell_length_a 5.1420
_cell_length_b 5.1420
_cell_length_c 5.3739
_cell_angle_alpha 90.00
_cell_angle_beta 90.00
_cell_angle_gamma 90.00
loop_
_atom_site_label
_atom_site_type_symbol
_atom_site_fract_x
_atom_site_fract_y
_atom_site_fract_z
K1 K 0.0000 0.0000 0.0000
Tl1 Tl 0.5000 0.5000 0.5000
Mo1 Mo 0.5000 0.5000 0.0000
Rh1 Rh 0.0000 0.5000 0.5000
Rh2 Rh 0.5000 0.0000 0.5000
```

Below is a geometry-optimized Al2ZnCd structure, with properties calculated at the PBE-GGA level.

Summary:
Formation enthalpy at 0 K (eV/atom): 0.118
Offset from the most stable computed form (eV/atom): 0.063
M_tot (μB/cell): 0.000
Volume (Å³/atom): 18.02

CIF file:
```
data_Al2ZnCd
_space_group_name_H-M_alt 'P 1'
_space_group_IT_number 1
_space_group_name_Hall 'P 1'
_cell_length_a 4.1565
_cell_length_b 4.1565
_cell_length_c 8.3444
_cell_angle_alpha 90.00
_cell_angle_beta 90.00
_cell_angle_gamma 90.00
loop_
_atom_site_label
_atom_site_type_symbol
_atom_site_fract_x
_atom_site_fract_y
_atom_site_fract_z
Al1 Al 0.0000 0.0000 0.0000
Al2 Al 0.0000 0.5000 0.2500
Al3 Al 0.5000 0.0000 0.7500
Al4 Al 0.5000 0.5000 0.5000
Zn1 Zn 0.0000 0.0000 0.5000
Zn2 Zn 0.5000 0.5000 0.0000
Cd1 Cd 0.0000 0.5000 0.7500
Cd2 Cd 0.5000 0.0000 0.2500
```

Below is a geometry-optimized Pr12Er5Mg2 structure, with properties calculated at the PBE-GGA level.

Summary:
Formation enthalpy at 0 K (eV/atom): 0.088
M_tot (μB/cell): 0.000
Volume (Å³/atom): 33.62

CIF file:
```
data_Pr12Er5Mg2
_space_group_name_H-M_alt 'P 1'
_space_group_IT_number 1
_space_group_name_Hall 'P 1'
_cell_length_a 9.1987
_cell_length_b 9.1987
_cell_length_c 8.6712
_cell_angle_alpha 92.25
_cell_angle_beta 92.25
_cell_angle_gamma 60.64
loop_
_atom_site_label
_atom_site_type_symbol
_atom_site_fract_x
_atom_site_fract_y
_atom_site_fract_z
Pr1 Pr 0.0610 0.0610 0.3399
Pr2 Pr 0.0676 0.6780 0.3195
Pr3 Pr 0.1654 0.5355 0.7656
Pr4 Pr 0.3220 0.9324 0.6805
Pr5 Pr 0.4196 0.4196 0.1193
Pr6 Pr 0.4645 0.8346 0.2344
Pr7 Pr 0.5355 0.1654 0.7656
Pr8 Pr 0.5804 0.5804 0.8807
Pr9 Pr 0.6780 0.0676 0.3195
Pr10 Pr 0.8346 0.4645 0.2344
Pr11 Pr 0.9324 0.3220 0.6805
Pr12 Pr 0.9390 0.9390 0.6601
Er1 Er 0.2017 0.2017 0.0274
Er2 Er 0.2692 0.2692 0.4278
Er3 Er 0.5000 0.5000 0.5000
Er4 Er 0.7308 0.7308 0.5722
Er5 Er 0.7983 0.7983 0.9726
Mg1 Mg 0.1632 0.8368 0.0000
Mg2 Mg 0.8368 0.1632 0.0000
```

Below is a geometry-optimized NpAgAsAu structure, with properties calculated at the PBE-GGA level.

Summary:
Formation enthalpy at 0 K (eV/atom): -0.189
M_tot (μB/cell): 15.939
Volume (Å³/atom): 20.75

CIF file:
```
data_NpAgAsAu
_space_group_name_H-M_alt 'P 1'
_space_group_IT_number 1
_space_group_name_Hall 'P 1'
_cell_length_a 6.9241
_cell_length_b 6.9241
_cell_length_c 6.9241
_cell_angle_alpha 90.00
_cell_angle_beta 90.00
_cell_angle_gamma 90.00
loop_
_atom_site_label
_atom_site_type_symbol
_atom_site_fract_x
_atom_site_fract_y
_atom_site_fract_z
Np1 Np 0.0000 0.0000 0.0000
Np2 Np 0.0000 0.5000 0.5000
Np3 Np 0.5000 0.0000 0.5000
Np4 Np 0.5000 0.5000 0.0000
Ag1 Ag 0.0000 0.0000 0.5000
Ag2 Ag 0.0000 0.5000 0.0000
Ag3 Ag 0.5000 0.0000 0.0000
Ag4 Ag 0.5000 0.5000 0.5000
As1 As 0.2500 0.2500 0.7500
As2 As 0.2500 0.7500 0.2500
As3 As 0.7500 0.2500 0.2500
As4 As 0.7500 0.7500 0.7500
Au1 Au 0.2500 0.2500 0.2500
Au2 Au 0.2500 0.7500 0.7500
Au3 Au 0.7500 0.2500 0.7500
Au4 Au 0.7500 0.7500 0.2500
```

Among the records above, which one has the highest volume?
Pr12Er5Mg2

What did the fifth record say?
Below is a geometry-optimized KTlMoRh2 structure, with properties calculated at the PBE-GGA level.

Summary:
Formation enthalpy at 0 K (eV/atom): 1.564
M_tot (μB/cell): 5.148
Volume (Å³/atom): 28.42

CIF file:
```
data_KTlMoRh2
_space_group_name_H-M_alt 'P 1'
_space_group_IT_number 1
_space_group_name_Hall 'P 1'
_cell_length_a 5.1420
_cell_length_b 5.1420
_cell_length_c 5.3739
_cell_angle_alpha 90.00
_cell_angle_beta 90.00
_cell_angle_gamma 90.00
loop_
_atom_site_label
_atom_site_type_symbol
_atom_site_fract_x
_atom_site_fract_y
_atom_site_fract_z
K1 K 0.0000 0.0000 0.0000
Tl1 Tl 0.5000 0.5000 0.5000
Mo1 Mo 0.5000 0.5000 0.0000
Rh1 Rh 0.0000 0.5000 0.5000
Rh2 Rh 0.5000 0.0000 0.5000
```

Which formula does entry 1 have?
HfCd

Copy entry 2 word for word.
Below is a geometry-optimized K3Nd3NpS8 structure, with properties calculated at the PBE-GGA level.

Summary:
Energy relative to the elements, uncorrected (meV per atom): -1733
M_tot (μB/cell): 3.000
Volume (Å³/atom): 29.84

CIF file:
```
data_K3Nd3NpS8
_space_group_name_H-M_alt 'P 1'
_space_group_IT_number 1
_space_group_name_Hall 'P 1'
_cell_length_a 8.8859
_cell_length_b 8.8859
_cell_length_c 8.8859
_cell_angle_alpha 55.78
_cell_angle_beta 55.78
_cell_angle_gamma 55.78
loop_
_atom_site_label
_atom_site_type_symbol
_atom_site_fract_x
_atom_site_fract_y
_atom_site_fract_z
K1 K 0.0000 0.5000 0.5000
K2 K 0.5000 0.0000 0.5000
K3 K 0.5000 0.5000 0.0000
Nd1 Nd 0.0000 0.0000 0.5000
Nd2 Nd 0.0000 0.5000 0.0000
Nd3 Nd 0.5000 0.0000 0.0000
Np1 Np 0.5000 0.5000 0.5000
S1 S 0.2356 0.2356 0.2356
S2 S 0.2473 0.7246 0.7246
S3 S 0.2754 0.2754 0.7527
S4 S 0.2754 0.7527 0.2754
S5 S 0.7246 0.2473 0.7246
S6 S 0.7246 0.7246 0.2473
S7 S 0.7527 0.2754 0.2754
S8 S 0.7644 0.7644 0.7644
```